Here is a geometry-optimized YCo2Ni2 structure from OQMD via LeMat-Bulk. Energies are from PBE.

a = 5.7531 Å, b = 5.7531 Å, c = 5.7531 Å
α = 141.98°, β = 141.98°, γ = 54.87°
Last column: nearest neighbours and their distance in Å.
Element x y z (fractional)
Y 0.0000 0.0000 0.0000  8 Ni 2.89, 8 Co 3.17
Co 0.2500 0.7500 0.5000  4 Ni 2.35
Co 0.7500 0.2500 0.5000  4 Ni 2.35
Ni 0.3881 0.3881 0.0000  1 Ni 2.28, 4 Co 2.35
Ni 0.6119 0.6119 0.0000  1 Ni 2.28, 4 Co 2.35

Calculated values
* VASP energy: -32.217 eV/cell